The following is a DFT calculation (PBE-GGA) of crystalline NaLi2Pb4 at its relaxed geometry.

The calculation puts the formation energy at 0.45 eV/f.u. The calculated volume is 29.0 Å³ per atom. The calculation puts the size of the total moment at 0.00 μB per cell. The energy above the most stable polymorph in this dataset comes out at 203.3 meV/atom.

It has space group I4/mmm (No. 139), with a = 5.6226 Å, b = 5.6226 Å, c = 12.8331 Å, α = 90.00°, β = 90.00° and γ = 90.00°. The distinct sites, in fractional coordinates, are Na at (0.0000, 0.0000, 0.0000), Li at (0.0000, 0.0000, 0.3756), Pb at (0.0000, 0.5000, 0.0000) and Pb at (0.0000, 0.5000, 0.2500).